No. 1
Material: ZrSbTe2Ir
Method: DFT, PBEsol
State: relaxed

```
ZrSbTe2Ir
1.0
5.342 0.000 0.000
0.000 5.342 0.000
0.000 0.000 5.415
Zr Sb Te Ir
1 1 2 1
Direct
0.000 0.000 0.000
0.000 0.000 0.500
0.000 0.500 0.000
0.500 0.000 0.000
0.500 0.500 0.500
```

No. 2
Material: LiLaNdSbO6
Method: DFT, PBEsol
State: relaxed

```
LiLaNdSbO6
1.0
5.532 0.000 0.000
0.024 5.757 0.000
0.092 0.003 7.876
Li La Nd Sb O
2 2 2 2 12
Direct
0.000 0.000 0.000
0.500 0.500 0.500
0.015 0.444 0.751
0.985 0.556 0.249
0.483 0.940 0.749
0.517 0.060 0.251
0.000 0.000 0.500
0.500 0.500 0.000
0.102 0.970 0.258
0.193 0.715 0.555
0.210 0.694 0.952
0.291 0.190 0.549
0.314 0.211 0.947
0.405 0.465 0.243
0.595 0.535 0.757
0.686 0.789 0.053
0.709 0.810 0.451
0.790 0.306 0.048
0.807 0.285 0.445
0.898 0.030 0.742
```

No. 3
Material: SrRu3O
Method: DFT, PBEsol
State: relaxed

```
SrRu3O
1.0
4.859 0.000 0.000
0.000 4.859 0.000
0.000 0.000 4.859
Sr Ru O
1 3 1
Direct
0.000 0.000 0.000
0.000 0.000 0.500
0.000 0.500 0.000
0.500 0.000 0.000
0.500 0.500 0.500
```

No. 4
Material: Tl2CoF4
Method: DFT, PBEsol
State: relaxed

```
Tl2CoF4
1.0
-2.020 2.020 6.937
2.020 -2.020 6.937
2.020 2.020 -6.937
Tl Co F
2 1 4
Direct
0.150 0.150 0.000
0.850 0.850 0.000
0.500 0.500 0.000
0.000 0.500 0.500
0.355 0.355 0.000
0.500 0.000 0.500
0.645 0.645 0.000
```

No. 5
Ta2Be2Ir (PBEsol, relaxed); calculated formation energy = -505 meV/atom
1.0
6.057 0.000 0.000
0.000 6.057 0.000
0.000 0.000 3.481
Ta Be Ir
4 4 2
Direct
0.173 0.327 0.000
0.327 0.827 0.000
0.673 0.173 0.000
0.827 0.673 0.000
0.124 0.624 0.500
0.376 0.124 0.500
0.624 0.876 0.500
0.876 0.376 0.500
0.000 0.000 0.500
0.500 0.500 0.500

No. 6
K2Tc (PBEsol, relaxed); energy above the most stable polymorph in this dataset = 0.0 meV/atom; calculated formation energy = 1022 meV/atom
1.0
-4.726 4.726 2.274
4.726 -4.726 2.274
4.726 4.726 -2.274
K Tc
4 2
Direct
0.163 0.663 0.825
0.337 0.163 0.500
0.663 0.837 0.500
0.837 0.337 0.175
0.250 0.250 0.000
0.750 0.750 0.000

No. 7
Material: CsTe4
Method: DFT, PBEsol
State: relaxed

```
CsTe4
1.0
7.875 0.000 0.000
0.000 7.223 0.000
-0.711 0.000 13.792
Cs Te
4 16
Direct
0.141 0.122 0.351
0.141 0.378 0.851
0.859 0.622 0.149
0.859 0.878 0.649
0.129 0.612 0.464
0.129 0.888 0.964
0.346 0.521 0.213
0.346 0.979 0.713
0.380 0.562 0.625
0.380 0.938 0.125
0.467 0.192 0.562
0.467 0.308 0.062
0.533 0.692 0.938
0.533 0.808 0.438
0.620 0.062 0.875
0.620 0.438 0.375
0.654 0.021 0.287
0.654 0.479 0.787
0.871 0.112 0.036
0.871 0.388 0.536
```

No. 8
Mg2ZrRh (PBEsol, relaxed); calculated formation energy = -340 meV/atom
1.0
3.241 0.000 0.000
0.000 3.241 0.000
0.000 0.000 7.319
Mg Zr Rh
2 1 1
Direct
0.000 0.000 0.000
0.500 0.500 0.283
0.000 0.000 0.582
0.500 0.500 0.776

Record-wise E values, in eV/atom: -4.9470 -7.5083 -4.1630 -4.6351 -9.0904 -3.4891 -3.3881 -5.5051